Record 1
Computed, not measured: a geometry-optimized SrLi2CaAu structure at the PBE level of DFT.

```
SrLi2CaAu
1.0
-0.866 -0.976 -5.125
-4.935 -1.533 1.126
-1.876 5.504 -0.731
Sr Ca Au Li
1 1 1 2
direct
0.000 0.000 0.500 Sr
0.500 0.500 0.500 Ca
0.000 0.000 0.000 Au
0.000 0.500 0.000 Li
0.500 0.000 0.000 Li
```

Calculated values
Formation energy, eV/atom: -0.129
Calculated volume, Å³ per atom: 32.78
DOS at the Fermi energy, states/eV/atom: 0.6548
Magnetic moment, μB/atom: 0.00

Record 2
Computed, not measured: a geometry-optimized Mg2TcCl structure at the PBE level of DFT.

```
Mg2TcCl
1.0
-0.823 4.545 2.557
-3.136 3.392 -2.556
-0.308 -5.109 1.291
Cl Mg Tc
1 2 1
direct
0.750 0.250 0.500 Cl
0.000 0.000 0.000 Mg
0.500 0.500 0.000 Mg
0.250 0.750 0.500 Tc
```

Calculated values
Calculated volume, Å³ per atom: 18.19
DOS at the Fermi energy, states/eV/atom: 0.6903
Magnetic moment, μB/atom: 0.43
Raw formation energy, eV/f.u.: 1.747

Record 3
Computed, not measured: a geometry-optimized NdSm6Th3 structure at the PBE level of DFT.

```
NdSm6Th3
1.0
3.514 0.000 0.000
0.000 14.312 -2.478
0.000 2.968 12.939
Nd Sm Th
2 12 6
direct
0.250 0.289 0.023 Nd
0.750 0.711 0.977 Nd
0.250 0.308 0.546 Sm
0.750 0.692 0.454 Sm
0.250 0.915 0.086 Sm
0.750 0.085 0.914 Sm
0.250 0.895 0.555 Sm
0.750 0.105 0.445 Sm
0.250 0.701 0.221 Sm
0.750 0.299 0.779 Sm
0.250 0.510 0.863 Sm
0.750 0.490 0.137 Sm
0.250 0.288 0.278 Sm
0.750 0.712 0.722 Sm
0.250 0.098 0.683 Th
0.750 0.902 0.317 Th
0.250 0.496 0.383 Th
0.750 0.504 0.617 Th
0.250 0.892 0.822 Th
0.750 0.108 0.178 Th
```

Calculated values
Formation energy, eV/atom: 0.119
Calculated volume, Å³ per atom: 33.82
DOS at the Fermi energy, states/eV/atom: 1.4945
Magnetic moment, μB/atom: 0.00

Record 4
Computed, not measured: a geometry-optimized Sr3Ni structure at the PBE level of DFT.

```
Sr3Ni
1.0
5.883 0.000 0.000
2.942 5.095 0.000
2.942 1.698 4.804
Ni Sr
1 3
direct
0.000 0.000 0.000 Ni
0.250 0.250 0.250 Sr
0.500 0.500 0.500 Sr
0.750 0.750 0.750 Sr
```

Calculated values
Formation energy, eV/atom: 0.423
Calculated volume, Å³ per atom: 36.00
DOS at the Fermi energy, states/eV/atom: 1.4860
Magnetic moment, μB/atom: 0.00

Record 5
Computed, not measured: a geometry-optimized FeAs2Br structure at the PBE level of DFT.

```
FeAs2Br
1.0
7.177 -0.122 0.056
5.351 4.784 -0.056
-6.141 -2.662 2.594
As Br Fe
2 1 1
direct
0.893 0.893 0.000 As
0.273 0.773 0.500 As
0.592 0.592 0.000 Br
0.742 0.242 0.500 Fe
```

Calculated values
Calculated volume, Å³ per atom: 22.63
DOS at the Fermi energy, states/eV/atom: 0.8920
Magnetic moment, μB/atom: 0.73
Raw formation energy, eV/f.u.: 0.486

Record 6
Computed, not measured: a geometry-optimized SrTa2GeS structure at the PBE level of DFT.

```
SrTa2GeS
1.0
-1.928 -3.983 1.929
2.833 -3.332 -4.051
3.785 -0.393 2.970
Sr Ge S Ta
1 1 1 2
direct
0.000 0.500 0.000 Sr
0.000 0.000 0.000 Ge
0.500 0.500 0.500 S
0.000 0.000 0.500 Ta
0.500 0.000 0.000 Ta
```

Calculated values
Calculated volume, Å³ per atom: 27.79
DOS at the Fermi energy, states/eV/atom: 1.0100
Magnetic moment, μB/atom: 0.60
Raw formation energy, eV/f.u.: 4.526

Record 7
Computed, not measured: a geometry-optimized TaCr2CuBr structure at the PBE level of DFT.

```
TaCr2CuBr
1.0
-2.713 -2.274 -3.337
3.993 -1.125 -2.480
0.390 -4.149 2.510
Cr Cu Br Ta
2 1 1 1
direct
0.000 0.000 0.500 Cr
0.500 0.000 0.000 Cr
0.000 0.500 0.000 Cu
0.500 0.500 0.500 Br
0.000 0.000 0.000 Ta
```

Calculated values
Calculated volume, Å³ per atom: 22.88
DOS at the Fermi energy, states/eV/atom: 0.8464
Magnetic moment, μB/atom: 1.13
Raw formation energy, eV/f.u.: 7.479

Record 8
Computed, not measured: a geometry-optimized K4Np3MnN8 structure at the PBE level of DFT.

```
K4Np3MnN8
1.0
-6.569 0.160 0.195
0.149 -2.418 6.999
3.395 5.997 -1.348
K Np Mn N
4 3 1 8
direct
0.500 0.000 0.000 K
0.500 0.000 0.500 K
0.000 0.000 0.000 K
0.000 0.000 0.500 K
0.500 0.500 0.000 Np
0.500 0.500 0.500 Np
0.000 0.500 0.500 Np
0.000 0.500 0.000 Mn
0.218 0.651 0.940 N
0.258 0.685 0.515 N
0.275 0.334 0.549 N
0.723 0.651 0.940 N
0.277 0.349 0.060 N
0.725 0.666 0.451 N
0.742 0.315 0.485 N
0.782 0.349 0.060 N
```

Calculated values
Calculated volume, Å³ per atom: 16.24
DOS at the Fermi energy, states/eV/atom: 0.4770
Magnetic moment, μB/atom: 0.14
Raw formation energy, eV/f.u.: -9.523

Record 9
Computed, not measured: a geometry-optimized EuLuCo4 structure at the PBE level of DFT.

```
EuLuCo4
1.0
5.944 0.000 0.000
2.972 5.148 0.000
2.972 1.716 4.853
Eu Lu Co
1 1 4
direct
0.000 0.000 0.000 Eu
0.250 0.250 0.250 Lu
0.844 0.844 0.467 Co
0.844 0.467 0.844 Co
0.844 0.844 0.844 Co
0.467 0.844 0.844 Co
```

Calculated values
Formation energy, eV/atom: 1.397
Calculated volume, Å³ per atom: 24.75
DOS at the Fermi energy, states/eV/atom: 2.1966
Magnetic moment, μB/atom: 0.21

Record 10
Computed, not measured: a geometry-optimized Pr2TmGe2 structure at the PBE level of DFT.

```
Pr2TmGe2
1.0
4.468 0.000 0.000
0.000 7.689 0.000
0.000 0.000 7.689
Pr Tm Ge
4 2 4
direct
0.500 0.175 0.675 Pr
0.500 0.675 0.825 Pr
0.500 0.825 0.325 Pr
0.500 0.325 0.175 Pr
0.000 0.000 0.000 Tm
0.000 0.500 0.500 Tm
0.000 0.377 0.877 Ge
0.000 0.877 0.623 Ge
0.000 0.623 0.123 Ge
0.000 0.123 0.377 Ge
```

Calculated values
Formation energy, eV/atom: -0.778
Calculated volume, Å³ per atom: 26.41
DOS at the Fermi energy, states/eV/atom: 0.8744
Magnetic moment, μB/atom: 0.00

Record 11
Computed, not measured: a geometry-optimized Pu3TeSe2 structure at the PBE level of DFT.

```
Pu3TeSe2
1.0
7.347 0.217 0.374
-1.431 7.227 -0.285
-1.431 -3.830 6.135
Pu Te Se
6 2 4
direct
0.995 0.138 0.319 Pu
0.495 0.319 0.138 Pu
0.000 0.500 0.000 Pu
0.005 0.862 0.681 Pu
0.500 0.000 0.500 Pu
0.505 0.681 0.862 Pu
0.250 0.577 0.423 Te
0.750 0.423 0.577 Te
0.250 0.916 0.084 Se
0.250 0.257 0.743 Se
0.750 0.084 0.916 Se
0.750 0.743 0.257 Se
```

Calculated values
Calculated volume, Å³ per atom: 27.13
DOS at the Fermi energy, states/eV/atom: 4.7849
Magnetic moment, μB/atom: 2.90
Raw formation energy, eV/f.u.: -8.143

Record 12
Computed, not measured: a geometry-optimized ScRe4 structure at the PBE level of DFT.

```
ScRe4
1.0
-2.853 2.853 2.853
2.853 -2.853 2.853
2.853 2.853 -2.853
Sc Re
1 4
direct
0.000 0.000 0.000 Sc
0.500 0.000 0.000 Re
0.500 0.500 0.500 Re
0.000 0.500 0.000 Re
0.000 0.000 0.500 Re
```

Calculated values
Formation energy, eV/atom: 2.000
Calculated volume, Å³ per atom: 18.57
DOS at the Fermi energy, states/eV/atom: 1.5452
Magnetic moment, μB/atom: 0.00